Entry 1:
Material: BaOsBr2
Method: DFT, GGA-PBE
State: relaxed

ΔE_f (raw), eV per atom: 0.481
E_tot, eV/atom: -3.6436
SG: F-43m (216)
Total magnetic moment, μB per formula unit: 4.00
D(E_F), states/eV/cell: 5.77

Cell: 5.5945 5.5945 5.5945 Å, 60.00 60.00 60.00°
Closest atoms and distances in Å follow each position.
Atoms (fractional coordinates):
1 Ba 0.0000 0.0000 0.0000  4 Os 3.43, 4 Br 3.43
2 Os 0.7500 0.7500 0.7500  4 Ba 3.43, 4 Br 3.43
3 Br 0.2500 0.2500 0.2500  4 Ba 3.43, 4 Br 3.43
4 Br 0.5000 0.5000 0.5000  4 Br 3.43, 4 Os 3.43

Entry 2:
Material: CsNdCd2Cl8
Method: DFT, GGA-PBE
State: relaxed

ΔE_f (raw), eV per atom: -1.605
E_tot, eV/atom: -3.4572
SG: P-1 (2)
Total magnetic moment, μB per formula unit: 0.00
D(E_F), states/eV/cell: 0.00

Cell: 6.7281 6.8500 9.6837 Å, 74.06 76.43 75.58°
Closest atoms and distances in Å follow each position.
Atoms (fractional coordinates):
1 Cs 0.0000 0.0000 0.0000  6 Cl 3.46-3.74
2 Nd 0.0000 0.0000 0.5000  6 Cl 2.73-2.78
3 Cd 0.4593 0.4485 0.2154  5 Cl 2.55-2.69
4 Cd 0.5407 0.5515 0.7846  5 Cl 2.55-2.69
5 Cl 0.1670 0.7115 0.7293  1 Cd 2.60, 1 Nd 2.78
6 Cl 0.2500 0.7885 0.2968  1 Cd 2.62, 1 Nd 2.76
7 Cl 0.2883 0.2389 0.4610  1 Cd 2.59, 1 Nd 2.73
8 Cl 0.3867 0.2909 0.0271  2 Cd 2.55-2.69
9 Cl 0.6133 0.7091 0.9729  2 Cd 2.55-2.69
10 Cl 0.7117 0.7611 0.5390  1 Cd 2.59, 1 Nd 2.73
11 Cl 0.7500 0.2115 0.7032  1 Cd 2.62, 1 Nd 2.76
12 Cl 0.8330 0.2885 0.2707  1 Cd 2.60, 1 Nd 2.78

Entry 3:
Material: LiCaY2Rh
Method: DFT, GGA-PBE
State: relaxed

E_tot, eV/atom: -5.0065
Formation energy, meV/atom: -167.5
SG: P4/mmm (123)
Total magnetic moment, μB per formula unit: 0.00
D(E_F), states/eV/cell: 3.78

Cell: 5.3192 5.3192 5.2591 Å, 90.00 90.00 90.00°
Closest atoms and distances in Å follow each position.
Atoms (fractional coordinates):
1 Li 0.0000 0.0000 0.0000  2 Rh 2.63
2 Ca 0.5000 0.5000 0.0000  8 Y 3.74, 4 Li 3.76
3 Y 0.0000 0.5000 0.5000  2 Rh 2.66
4 Y 0.5000 0.0000 0.5000  2 Rh 2.66
5 Rh 0.0000 0.0000 0.5000  2 Li 2.63, 4 Y 2.66

Entry 4:
Material: Pu4TlPb2
Method: DFT, GGA-PBE
State: relaxed

E_tot, eV/atom: -9.4626
Formation energy, meV/atom: 124.7
SG: Fmmm (69)
Total magnetic moment, μB per formula unit: 24.06
D(E_F), states/eV/cell: 23.12

Cell: 7.7337 6.7928 6.1695 Å, 73.08 57.17 49.75°
Closest atoms and distances in Å follow each position.
Atoms (fractional coordinates):
1 Pu 0.0000 0.0000 0.5000  2 Pu 2.91, 2 Tl 3.08
2 Pu 0.2500 0.2500 0.2500  2 Pu 2.91
3 Pu 0.5000 0.5000 0.0000  2 Pu 2.91, 2 Tl 3.08
4 Pu 0.7500 0.7500 0.7500  2 Pu 2.91
5 Tl 0.0000 0.0000 0.0000  4 Pu 3.08
6 Pb 0.3637 0.3637 0.6363  1 Pb 3.18, 8 Pu 3.36-3.47
7 Pb 0.6363 0.6363 0.3637  1 Pb 3.18, 8 Pu 3.36-3.47

Entry 5:
Material: AlCdMoAu2
Method: DFT, GGA-PBE
State: relaxed

E_tot, eV/atom: -3.1235
Formation energy, meV/atom: 1285.2
SG: P4/mmm (123)
Total magnetic moment, μB per formula unit: 4.39
D(E_F), states/eV/cell: 2.63

Cell: 5.1289 5.1289 4.8291 Å, 90.00 90.00 90.00°
Closest atoms and distances in Å follow each position.
Atoms (fractional coordinates):
1 Al 0.0000 0.0000 0.0000  2 Cd 2.41
2 Cd 0.0000 0.0000 0.5000  2 Al 2.41, 4 Au 2.56
3 Mo 0.5000 0.5000 0.0000  8 Au 3.52, 4 Al 3.63
4 Au 0.0000 0.5000 0.5000  2 Cd 2.56
5 Au 0.5000 0.0000 0.5000  2 Cd 2.56

Entry 6:
Material: Ti6CuRe5
Method: DFT, GGA-PBE
State: relaxed

E_tot, eV/atom: -9.8392
Formation energy, meV/atom: -363.7
SG: Immm (71)
Total magnetic moment, μB per formula unit: 0.00
D(E_F), states/eV/cell: 7.75

Cell: 7.6182 7.6182 7.6182 Å, 146.36 131.62 60.22°
Closest atoms and distances in Å follow each position.
Atoms (fractional coordinates):
1 Ti 0.0775 0.3311 0.7465  7 Re 2.68-2.71, 1 Cu 2.73
2 Ti 0.2429 0.0000 0.2429  6 Re 2.67-2.69, 2 Cu 2.73
3 Ti 0.4154 0.6689 0.7465  7 Re 2.68-2.71, 1 Cu 2.73
4 Ti 0.5846 0.3311 0.2535  7 Re 2.68-2.71, 1 Cu 2.73
5 Ti 0.7571 0.0000 0.7571  6 Re 2.67-2.69, 2 Cu 2.73
6 Ti 0.9225 0.6689 0.2535  7 Re 2.68-2.71, 1 Cu 2.73
7 Cu 0.5000 0.5000 0.0000  8 Ti 2.73
8 Re 0.0000 0.5000 0.5000  8 Ti 2.68-2.71
9 Re 0.1668 0.1668 0.0000  8 Ti 2.67-2.69
10 Re 0.3358 0.8358 0.5000  8 Ti 2.68-2.71
11 Re 0.6642 0.1642 0.5000  8 Ti 2.68-2.71
12 Re 0.8332 0.8332 0.0000  8 Ti 2.67-2.69

Entry 7:
Material: Mo2As3
Method: DFT, GGA-PBE
State: relaxed

E_tot, eV/atom: -7.4050
Formation energy, meV/atom: -282.8
SG: C2/m (12)
Total magnetic moment, μB per formula unit: 0.00
D(E_F), states/eV/cell: 3.89

Cell: 6.9681 6.9681 9.7469 Å, 123.67 123.67 26.98°
Closest atoms and distances in Å follow each position.
Atoms (fractional coordinates):
1 Mo 0.1499 0.1499 0.3652  6 As 2.54-2.62
2 Mo 0.2522 0.2522 0.1283  6 As 2.53-2.60
3 Mo 0.7478 0.7478 0.8717  6 As 2.53-2.60
4 Mo 0.8501 0.8501 0.6348  6 As 2.54-2.62
5 As 0.0854 0.0854 0.8157  4 Mo 2.53-2.62
6 As 0.3710 0.3710 0.4522  4 Mo 2.54-2.61
7 As 0.3950 0.3950 0.8714  1 As 2.50, 4 Mo 2.57-2.59
8 As 0.6050 0.6050 0.1286  1 As 2.50, 4 Mo 2.57-2.59
9 As 0.6290 0.6290 0.5478  4 Mo 2.54-2.61
10 As 0.9146 0.9146 0.1843  4 Mo 2.53-2.62

Entry 8:
Material: Ac2ScSb
Method: DFT, GGA-PBE
State: relaxed

ΔE_f (raw), eV per atom: 0.153
E_tot, eV/atom: -4.5144
SG: R-3m (166)
Total magnetic moment, μB per formula unit: 0.00
D(E_F), states/eV/cell: 4.77

Cell: 12.5374 12.5374 12.5374 Å, 17.05 17.05 17.05°
Closest atoms and distances in Å follow each position.
Atoms (fractional coordinates):
1 Ac 0.0898 0.0898 0.0898  1 Sb 3.33, 3 Sc 3.57, 6 Ac 3.72
2 Ac 0.9102 0.9102 0.9102  1 Sb 3.33, 3 Sc 3.57, 6 Ac 3.72
3 Sc 0.5000 0.5000 0.5000  6 Ac 3.57, 6 Sc 3.72
4 Sb 0.0000 0.0000 0.0000  2 Ac 3.33, 6 Sb 3.72

Entry 9:
Material: CsBe2Ag
Method: DFT, GGA-PBE
State: relaxed

E_tot, eV/atom: -1.4478
Formation energy, meV/atom: 1341.5
SG: Fm-3m (225)
Total magnetic moment, μB per formula unit: 0.00
D(E_F), states/eV/cell: 1.48

Cell: 5.2071 5.2071 5.2071 Å, 60.00 60.00 60.00°
Closest atoms and distances in Å follow each position.
Atoms (fractional coordinates):
1 Cs 0.0000 0.0000 0.0000  8 Be 3.19
2 Be 0.2500 0.2500 0.2500  4 Ag 3.19, 4 Cs 3.19
3 Be 0.7500 0.7500 0.7500  4 Cs 3.19, 4 Ag 3.19
4 Ag 0.5000 0.5000 0.5000  8 Be 3.19

Entry 10:
Material: TbScIr2
Method: DFT, GGA-PBE
State: relaxed

E_tot, eV/atom: -8.0465
Formation energy, meV/atom: -875.6
SG: P4/mmm (123)
Total magnetic moment, μB per formula unit: 0.00
D(E_F), states/eV/cell: 0.74

Cell: 3.2385 3.2385 7.0590 Å, 90.00 90.00 90.00°
Closest atoms and distances in Å follow each position.
Atoms (fractional coordinates):
1 Tb 0.0000 0.0000 0.0000  8 Ir 2.98, 4 Tb 3.24
2 Sc 0.0000 0.0000 0.5000  8 Ir 2.81
3 Ir 0.5000 0.5000 0.2705  4 Sc 2.81, 4 Tb 2.98
4 Ir 0.5000 0.5000 0.7295  4 Sc 2.81, 4 Tb 2.98

Entry 11:
Material: ScPaSb2N
Method: DFT, GGA-PBE
State: relaxed

ΔE_f (raw), eV per atom: -1.044
E_tot, eV/atom: -7.5232
SG: P4/nmm (129)
Total magnetic moment, μB per formula unit: 0.00
D(E_F), states/eV/cell: 5.45

Cell: 4.0111 4.0111 13.8146 Å, 90.00 90.00 90.00°
Closest atoms and distances in Å follow each position.
Atoms (fractional coordinates):
1 Sc 0.2500 0.2500 0.0810  6 Sb 2.92-2.98
2 Sc 0.7500 0.7500 0.9190  6 Sb 2.92-2.98
3 Pa 0.2500 0.2500 0.5829  4 N 2.31
4 Pa 0.7500 0.7500 0.4171  4 N 2.31
5 Sb 0.2500 0.2500 0.2924  1 Sc 2.92
6 Sb 0.2500 0.2500 0.8655  5 Sc 2.93-2.98
7 Sb 0.7500 0.7500 0.1345  5 Sc 2.93-2.98
8 Sb 0.7500 0.7500 0.7076  1 Sc 2.92
9 N 0.2500 0.7500 0.5000  4 Pa 2.31
10 N 0.7500 0.2500 0.5000  4 Pa 2.31

Entry 12:
Material: Li2TaCuBi
Method: DFT, GGA-PBE
State: relaxed

E_tot, eV/atom: -3.9311
Formation energy, meV/atom: 800.4
SG: P4/mmm (123)
Total magnetic moment, μB per formula unit: 1.61
D(E_F), states/eV/cell: 4.14

Cell: 4.4087 4.4087 5.1599 Å, 90.00 90.00 90.00°
Closest atoms and distances in Å follow each position.
Atoms (fractional coordinates):
1 Li 0.0000 0.5000 0.0000  2 Cu 2.20
2 Li 0.5000 0.0000 0.0000  2 Cu 2.20
3 Ta 0.0000 0.0000 0.5000  4 Bi 3.12, 8 Li 3.39
4 Cu 0.5000 0.5000 0.0000  4 Li 2.20
5 Bi 0.5000 0.5000 0.5000  2 Cu 2.58